[1]
A plane-wave DFT calculation with PBE-GGA was carried out for a relaxed structure of GaGeI.

The space group is P1 (No. 1) and the conventional cell measures 4.370, 6.337 and 8.027 Å, with angles of 94.58, 105.77 and 110.03 degrees. The distinct sites, in fractional coordinates, are Ga at (0.000, 0.000, 0.000), Ga at (0.101, 0.480, 0.718), Ge at (0.376, 0.911, 0.839), Ge at (0.463, 0.247, 0.674), I at (0.142, 0.948, 0.360) and I at (0.265, 0.466, 0.086).

As for the density of states at the Fermi level: 0.08 states/eV per atom. The calculation puts the offset from the most stable computed form at 0.133 eV/atom. The formation energy from raw total energies comes out at -0.11 eV/atom.

=====

[2]
A plane-wave DFT calculation with PBE-GGA was carried out for a relaxed structure of CaDyTlPt.

The space group is F-43m (No. 216) and the conventional cell measures 7.284, 7.284 and 7.284 Å, with angles of 90.00, 90.00 and 90.00 degrees. The distinct sites, in fractional coordinates, are Ca at (0.000, 0.000, 0.000), Dy at (0.000, 0.000, 0.500), Tl at (0.250, 0.250, 0.750) and Pt at (0.250, 0.250, 0.250).

As for the density of states at the Fermi level: 0.36 states/eV per atom. As for the energy of formation: -0.6520 eV per atom.

=====

[3]
A plane-wave DFT calculation with PBE-GGA was carried out for a relaxed structure of TlInCuS3.

The space group is P2_1/m (No. 11) and the conventional cell measures 8.827, 3.801 and 9.188 Å, with angles of 90.00, 106.13 and 90.00 degrees. The distinct sites, in fractional coordinates, are Tl at (0.191, 0.250, 0.222), In at (0.342, 0.750, 0.875), Cu at (0.086, 0.250, 0.590), S at (0.134, 0.250, 0.854), S at (0.184, 0.750, 0.514) and S at (0.468, 0.750, 0.168).

As for the density of states at the Fermi level: 0.52 states/eV per atom. The formation energy from raw total energies comes out at -0.35 eV/atom.

=====

[4]
A plane-wave DFT calculation with PBE-GGA was carried out for a relaxed structure of Cs3NpAg2Cl8.

The space group is P-3m1 (No. 164) and the conventional cell measures 7.6172, 7.6172 and 10.2470 Å, with angles of 90.00, 90.00 and 120.00 degrees. The distinct sites, in fractional coordinates, are Cs at (0.0000, 0.0000, 0.0000), Cs at (0.3333, 0.6667, 0.6369), Np at (0.0000, 0.0000, 0.5000), Ag at (0.3333, 0.6667, 0.1900), Cl at (0.1654, 0.3308, 0.3411) and Cl at (0.3333, 0.6667, 0.9550).

As for the density of states at the Fermi level: 0.50 states/eV per atom. The formation energy from raw total energies comes out at -1.46 eV/atom.

=====

Listing mass density for the structures above in their given order: 4.5; 10.3; 5.4; 3.7 g/cm³.